Computed, not measured: a relaxed GdGaNiPt crystal at the PBE level of DFT.

POSCAR file:
```
GdGaNiPt
1.0
-2.018 3.457 1.552
-2.055 -2.671 -2.661
-2.885 -4.889 7.135
Ga Gd Ni Pt
2 2 2 2
Direct
0.000 0.000 0.739 Ga
0.000 0.000 0.261 Ga
0.667 0.333 0.000 Gd
0.333 0.667 0.500 Gd
0.667 0.333 0.677 Ni
0.667 0.333 0.323 Ni
0.333 0.667 0.818 Pt
0.333 0.667 0.182 Pt
```

## Properties
The theoretical density is 10.97 Mg/m³. The energy relative to the lowest polymorph listed for this composition comes out at 0.02 eV/f.u. Its total magnetization is 0.01 μB per formula unit.